Entry 1:
Below is a relaxed Ta2PtRh crystal, with properties calculated at the GGA-PBEsol level.

Values from the calculation:
- Energy of formation: -2.07 eV per formula unit
- E: -10.57 eV per atom
- Theoretical density: 17.07 Mg/m³

Unit cell a=3.295 b=3.295 c=5.912 alpha=90.00 beta=90.00 gamma=90.00
Atoms (fractional coordinates):
Ta  0.000  0.000  0.000
Ta  0.500  0.500  0.299
Pt  0.000  0.000  0.518
Rh  0.500  0.500  0.791

***

Entry 2:
Below is a relaxed TcPtRh crystal, with properties calculated at the GGA-PBEsol level.

Values from the calculation:
- Energy of formation: -0.58 eV per formula unit
- E: -8.98 eV per atom
- Theoretical density: 15.63 Mg/m³

Unit cell a=2.695 b=2.695 c=11.586 alpha=90.00 beta=90.00 gamma=90.00
Atoms (fractional coordinates):
Tc  0.000  0.000  0.000
Tc  0.500  0.500  0.500
Pt  0.000  0.000  0.668
Pt  0.500  0.500  0.168
Rh  0.000  0.000  0.346
Rh  0.500  0.500  0.846